[1]
Here is an optimized crystal structure of Mn2NbCO from Alexandria via LeMat-Bulk. Energies are from GGA-PBEsol.

Values from the calculation:
The calculated volume is 88.2 Å³/cell. Its density of states at the Fermi level is 0.484 states/eV/atom. Its space group is P4/mmm. As for the electronic total energy: -0.2716 Ha/atom.

Cell lengths 3.8126, 4.8087, 4.8087 Å; angles 90.00, 90.00, 90.00 degrees
Positions (direct):
Nb 0.0000 0.0000 0.0000
Mn 0.0000 0.0000 0.5000
Mn 0.0000 0.5000 0.0000
C 0.5000 0.5000 0.5000
O 0.5000 0.0000 0.0000

***

[2]
Here is an optimized crystal structure of MnNbRuC2 from Alexandria via LeMat-Bulk. Energies are from GGA-PBEsol.

Values from the calculation:
The calculated volume is 76.9 Å³/cell. Its density of states at the Fermi level is 0.935 states/eV/atom. As for the calculated formation energy: 2345.0 meV per atom. Its space group is P4/mmm.

Cell lengths 4.0212, 4.0212, 4.7563 Å; angles 90.00, 90.00, 90.00 degrees
Positions (direct):
Ru 0.5000 0.5000 0.5000
Nb 0.0000 0.0000 0.0000
Mn 0.0000 0.0000 0.5000
C 0.0000 0.5000 0.0000
C 0.5000 0.0000 0.0000

***

[3]
Here is an optimized crystal structure of MnNb4C2S4 from Alexandria via LeMat-Bulk. Energies are from GGA-PBEsol.

Values from the calculation:
The calculated volume is 154.5 Å³/cell. Its density of states at the Fermi level is 0.446 states/eV/atom. Its space group is P2/m. As for the electronic total energy: -0.3325 Ha/atom.

Cell lengths 3.2718, 5.6726, 8.5316 Å; angles 102.60, 90.00, 90.00 degrees
Positions (direct):
Mn 0.0000 0.0000 0.0000
Nb 0.5000 0.6236 0.3608
Nb 0.0000 0.1178 0.3623
Nb 0.5000 0.3764 0.6392
Nb 0.0000 0.8822 0.6377
C 0.0000 0.5000 0.5000
C 0.5000 0.0000 0.5000
S 0.5000 0.7765 0.8446
S 0.0000 0.2783 0.8415
S 0.5000 0.2235 0.1554
S 0.0000 0.7217 0.1585